Version P
Sr2CaGa2 | meta-GGA SCAN | PBEsol geometry

Cell lengths 3.838, 3.838, 23.498 Å; angles 90.00, 90.00, 90.00 degrees
Fractional coordinates of all 10 atoms:
Sr  0.000  0.000  0.133
Sr  0.000  0.000  0.867
Sr  0.500  0.500  0.367
Sr  0.500  0.500  0.633
Ca  0.000  0.000  0.500
Ca  0.500  0.500  0.000
Ga  0.000  0.500  0.250
Ga  0.000  0.500  0.750
Ga  0.500  0.000  0.250
Ga  0.500  0.000  0.750

* total magnetization: 0.39 μB per formula unit

---

Version Q
Sr2CaGa2 | meta-GGA SCAN | PBEsol geometry

Cell lengths 8.566, 8.566, 4.239 Å; angles 90.00, 90.00, 90.00 degrees
Fractional coordinates of all 10 atoms:
Sr  0.176  0.324  0.000
Sr  0.324  0.824  0.000
Sr  0.676  0.176  0.000
Sr  0.824  0.676  0.000
Ca  0.000  0.000  0.500
Ca  0.500  0.500  0.500
Ga  0.115  0.615  0.500
Ga  0.385  0.115  0.500
Ga  0.615  0.885  0.500
Ga  0.885  0.385  0.500

* total magnetization: 0.06 μB per formula unit

---

Relative energies, meV per atom: version P 294; version Q 0.

---

Version P
CaGeI2O | meta-GGA SCAN | PBEsol geometry

Cell lengths 5.881, 5.881, 3.857 Å; angles 90.00, 90.00, 90.00 degrees
Fractional coordinates of all 5 atoms:
Ca  0.000  0.000  0.000
Ge  0.500  0.500  0.500
I  0.000  0.500  0.500
I  0.500  0.000  0.500
O  0.500  0.500  0.000

* total magnetization: 0.00 μB per formula unit

---

Version Q
CaGeI2O | meta-GGA SCAN | PBEsol geometry

Cell lengths 5.938, 5.938, 4.071 Å; angles 90.00, 90.00, 90.00 degrees
Fractional coordinates of all 5 atoms:
Ca  0.000  0.000  0.000
Ge  0.500  0.500  0.500
I  0.000  0.500  0.000
I  0.500  0.000  0.000
O  0.000  0.000  0.500

* total magnetization: 0.47 μB per formula unit

---

Relative energies, meV per atom: version P 0; version Q 260.

---

Version P
CaGeSb2O | meta-GGA SCAN | PBEsol geometry

Cell lengths 5.585, 5.585, 5.375 Å; angles 90.00, 90.00, 90.00 degrees
Fractional coordinates of all 5 atoms:
Ca  0.000  0.000  0.000
Ge  0.000  0.000  0.500
Sb  0.000  0.500  0.000
Sb  0.500  0.000  0.000
O  0.500  0.500  0.500

* total magnetization: 2.22 μB per formula unit

---

Version Q
CaGeSb2O | meta-GGA SCAN | PBEsol geometry

Cell lengths 5.666, 5.666, 3.614 Å; angles 90.00, 90.00, 90.00 degrees
Fractional coordinates of all 5 atoms:
Ca  0.000  0.000  0.000
Ge  0.500  0.500  0.500
Sb  0.000  0.500  0.500
Sb  0.500  0.000  0.500
O  0.500  0.500  0.000

* total magnetization: 0.00 μB per formula unit

---

Relative energies, meV per atom: version P 1687; version Q 0.

---

Version P
CaGeSe2 | meta-GGA SCAN | PBEsol geometry

Cell lengths 6.157, 6.157, 13.472 Å; angles 90.00, 90.00, 90.00 degrees
Fractional coordinates of all 16 atoms:
Ca  0.000  0.000  0.000
Ca  0.000  0.500  0.250
Ca  0.500  0.000  0.750
Ca  0.500  0.500  0.500
Ge  0.000  0.000  0.500
Ge  0.000  0.500  0.750
Ge  0.500  0.000  0.250
Ge  0.500  0.500  0.000
Se  0.228  0.250  0.625
Se  0.250  0.728  0.875
Se  0.250  0.772  0.375
Se  0.272  0.250  0.125
Se  0.728  0.750  0.125
Se  0.750  0.228  0.375
Se  0.750  0.272  0.875
Se  0.772  0.750  0.625

* total magnetization: 0.00 μB per formula unit

---

Version Q
CaGeSe2 | meta-GGA SCAN | PBEsol geometry

Cell lengths 7.039, 7.039, 7.039 Å; angles 90.00, 90.00, 90.00 degrees
Fractional coordinates of all 16 atoms:
Ca  0.000  0.000  0.000
Ca  0.000  0.500  0.500
Ca  0.500  0.000  0.500
Ca  0.500  0.500  0.000
Ge  0.000  0.000  0.500
Ge  0.000  0.500  0.000
Ge  0.500  0.000  0.000
Ge  0.500  0.500  0.500
Se  0.250  0.250  0.250
Se  0.250  0.250  0.750
Se  0.250  0.750  0.250
Se  0.250  0.750  0.750
Se  0.750  0.250  0.250
Se  0.750  0.250  0.750
Se  0.750  0.750  0.250
Se  0.750  0.750  0.750

* total magnetization: 0.00 μB per formula unit

---

Relative energies, meV per atom: version P 0; version Q 107.

---

Version P
CaHN | meta-GGA SCAN | PBEsol geometry

Cell lengths 5.030, 4.788, 6.003 Å; angles 90.00, 90.00, 90.00 degrees
Fractional coordinates of all 12 atoms:
Ca  0.245  0.250  0.066
Ca  0.255  0.750  0.566
Ca  0.745  0.250  0.434
Ca  0.755  0.750  0.934
H  0.219  0.250  0.619
H  0.281  0.750  0.119
H  0.719  0.250  0.881
H  0.781  0.750  0.381
N  0.248  0.250  0.446
N  0.252  0.750  0.946
N  0.748  0.250  0.054
N  0.752  0.750  0.554

* total magnetization: 0.00 μB per formula unit

---

Version Q
CaHN | meta-GGA SCAN | PBEsol geometry

Cell lengths 3.497, 3.497, 5.636 Å; angles 90.00, 90.00, 90.00 degrees
Fractional coordinates of all 6 atoms:
Ca  0.000  0.000  0.000
Ca  0.500  0.500  0.500
H  0.000  0.000  0.411
H  0.500  0.500  0.911
N  0.000  0.000  0.596
N  0.500  0.500  0.096

* total magnetization: 0.00 μB per formula unit

---

Relative energies, meV per atom: version P 0; version Q 42.

---

Version P
CaHPd3 | meta-GGA SCAN | PBEsol geometry

Cell lengths 5.853, 5.853, 4.727 Å; angles 90.00, 90.00, 120.00 degrees
Fractional coordinates of all 10 atoms:
Ca  0.333  0.667  0.250
Ca  0.667  0.333  0.750
H  0.333  0.667  0.750
H  0.667  0.333  0.250
Pd  0.156  0.311  0.750
Pd  0.156  0.844  0.750
Pd  0.311  0.156  0.250
Pd  0.689  0.844  0.750
Pd  0.844  0.156  0.250
Pd  0.844  0.689  0.250

* total magnetization: 0.00 μB per formula unit

---

Version Q
CaHPd3 | meta-GGA SCAN | PBEsol geometry

Cell lengths 4.084, 4.084, 4.084 Å; angles 90.00, 90.00, 90.00 degrees
Fractional coordinates of all 5 atoms:
Ca  0.000  0.000  0.000
H  0.500  0.500  0.500
Pd  0.000  0.500  0.500
Pd  0.500  0.000  0.500
Pd  0.500  0.500  0.000

* total magnetization: 0.00 μB per formula unit

---

Relative energies, meV per atom: version P 0; version Q 33.

---

Version P
Ca2ReH | meta-GGA SCAN | PBEsol geometry

Cell lengths 6.710, 6.710, 6.849 Å; angles 90.00, 90.00, 90.00 degrees
Fractional coordinates of all 16 atoms:
Ca  0.159  0.750  0.125
Ca  0.250  0.159  0.875
Ca  0.250  0.341  0.375
Ca  0.341  0.750  0.625
Ca  0.659  0.250  0.625
Ca  0.750  0.659  0.375
Ca  0.750  0.841  0.875
Ca  0.841  0.250  0.125
Re  0.000  0.000  0.500
Re  0.000  0.500  0.750
Re  0.500  0.000  0.250
Re  0.500  0.500  0.000
H  0.000  0.000  0.000
H  0.000  0.500  0.250
H  0.500  0.000  0.750
H  0.500  0.500  0.500

* total magnetization: 2.19 μB per formula unit

---

Version Q
Ca2ReH | meta-GGA SCAN | PBEsol geometry

Cell lengths 6.881, 6.881, 6.881 Å; angles 90.00, 90.00, 90.00 degrees
Fractional coordinates of all 16 atoms:
Ca  0.250  0.250  0.250
Ca  0.250  0.250  0.750
Ca  0.250  0.750  0.250
Ca  0.250  0.750  0.750
Ca  0.750  0.250  0.250
Ca  0.750  0.250  0.750
Ca  0.750  0.750  0.250
Ca  0.750  0.750  0.750
Re  0.000  0.000  0.000
Re  0.000  0.500  0.500
Re  0.500  0.000  0.500
Re  0.500  0.500  0.000
H  0.000  0.000  0.500
H  0.000  0.500  0.000
H  0.500  0.000  0.000
H  0.500  0.500  0.500

* total magnetization: 1.99 μB per formula unit

---

Relative energies, meV per atom: version P 0; version Q 296.

---

Version P
Ca5Hg | meta-GGA SCAN | PBEsol geometry

Cell lengths 13.056, 3.819, 9.241 Å; angles 90.00, 112.40, 90.00 degrees
Fractional coordinates of all 12 atoms:
Ca  0.000  0.000  0.000
Ca  0.132  0.500  0.367
Ca  0.170  0.500  0.790
Ca  0.330  0.000  0.210
Ca  0.368  0.000  0.633
Ca  0.500  0.500  0.000
Ca  0.632  0.000  0.367
Ca  0.670  0.000  0.790
Ca  0.830  0.500  0.210
Ca  0.868  0.500  0.633
Hg  0.000  0.000  0.500
Hg  0.500  0.500  0.500

* total magnetization: 0.22 μB per formula unit

---

Version Q
Ca5Hg | meta-GGA SCAN | PBEsol geometry

Cell lengths 3.830, 3.830, 14.418 Å; angles 90.00, 90.00, 90.00 degrees
Fractional coordinates of all 6 atoms:
Ca  0.000  0.000  0.000
Ca  0.000  0.000  0.380
Ca  0.000  0.000  0.620
Ca  0.500  0.500  0.188
Ca  0.500  0.500  0.812
Hg  0.500  0.500  0.500

* total magnetization: 0.36 μB per formula unit

---

Version R
Ca5Hg | meta-GGA SCAN | PBEsol geometry

Cell lengths 4.603, 15.818, 5.588 Å; angles 90.00, 90.00, 90.00 degrees
Fractional coordinates of all 12 atoms:
Ca  0.000  0.000  0.000
Ca  0.000  0.145  0.500
Ca  0.000  0.335  0.000
Ca  0.000  0.665  0.000
Ca  0.000  0.855  0.500
Ca  0.500  0.165  0.000
Ca  0.500  0.355  0.500
Ca  0.500  0.500  0.000
Ca  0.500  0.645  0.500
Ca  0.500  0.835  0.000
Hg  0.000  0.500  0.500
Hg  0.500  0.000  0.500

* total magnetization: 0.28 μB per formula unit

---

Version S
Ca5Hg | meta-GGA SCAN | PBEsol geometry

Cell lengths 6.345, 6.345, 5.838 Å; angles 90.00, 90.00, 120.00 degrees
Fractional coordinates of all 6 atoms:
Ca  0.000  0.313  0.000
Ca  0.313  0.000  0.000
Ca  0.333  0.667  0.500
Ca  0.667  0.333  0.500
Ca  0.687  0.687  0.000
Hg  0.000  0.000  0.500

* total magnetization: 0.00 μB per formula unit

---

Relative energies, meV per atom: version P 14; version Q 0; version R 90; version S 143.